Density functional theory data (GGA-PBE) for an optimized crystal structure of Pr3Er13.

abc: 10.0039 10.0118 10.0473
angles: 90.00 90.00 90.00
Space group Amm2 (No. 38)
Asymmetric unit:
Pr1 0.0000 0.0000 0.0000 [2 per cell]
Pr2 0.2509 0.0000 0.2538 [4 per cell]
Er1 0.0000 0.0000 0.5050 [2 per cell]
Er2 0.0000 0.2478 0.7524 [4 per cell]
Er3 0.2524 0.0000 0.7512 [4 per cell]
Er4 0.2518 0.2493 0.5026 [8 per cell]
Er5 0.5000 0.0000 0.0004 [2 per cell]
Er6 0.5000 0.0000 0.5054 [2 per cell]
Er7 0.5000 0.2481 0.7529 [4 per cell]

Calculated values
DOS(E_F)   18.69 states/eV/f.u.
Formation enthalpy at 0 K   0.35 eV/f.u.